Record 1
The following is a DFT calculation (PBE) of a relaxed ErH3Rh crystal.

V = 47.8 Å³ per cell
Density = 9.5 g/cm³
Magnetization = 0.00 μB/f.u.
Symmetry = No. 221
E_tot = -4.973 eV per atom

abc: 3.630 3.630 3.630
angles: 90.00 90.00 90.00
Atoms (fractional coordinates):
Er (0.000, 0.000, 0.000)
H (0.000, 0.500, 0.500)
H (0.500, 0.000, 0.500)
H (0.500, 0.500, 0.000)
Rh (0.500, 0.500, 0.500)


Record 2
The following is a DFT calculation (PBE) of a relaxed La4SbC crystal.

V = 383.1 Å³ per cell
Density = 6.0 g/cm³
Magnetization = 0.00 μB/f.u.
Symmetry = No. 15
E_tot = -5.911 eV per atom

abc: 8.975 8.975 6.538
angles: 109.21 109.21 114.05
Atoms (fractional coordinates):
La (0.055, 0.670, 0.906)
La (0.161, 0.257, 0.643)
La (0.257, 0.161, 0.143)
La (0.330, 0.945, 0.594)
La (0.670, 0.055, 0.406)
La (0.743, 0.839, 0.857)
La (0.839, 0.743, 0.357)
La (0.945, 0.330, 0.094)
Sb (0.384, 0.616, 0.250)
Sb (0.616, 0.384, 0.750)
C (0.070, 0.930, 0.250)
C (0.930, 0.070, 0.750)


Record 3
The following is a DFT calculation (PBE) of a relaxed SrHg2Te2 crystal.

V = 317.9 Å³ per cell
Offset from the most stable computed form = 0.100 eV/atom
Density = 7.8 g/cm³
Magnetization = 0.00 μB/f.u.
Symmetry = No. 127
E_tot = -2.225 eV per atom

abc: 8.626 8.626 4.272
angles: 90.00 90.00 90.00
Atoms (fractional coordinates):
Sr (0.000, 0.000, 0.000)
Sr (0.500, 0.500, 0.000)
Hg (0.111, 0.389, 0.000)
Hg (0.389, 0.889, 0.000)
Hg (0.611, 0.111, 0.000)
Hg (0.889, 0.611, 0.000)
Te (0.222, 0.722, 0.500)
Te (0.278, 0.222, 0.500)
Te (0.722, 0.778, 0.500)
Te (0.778, 0.278, 0.500)


Record 4
The following is a DFT calculation (PBE) of a relaxed Y12ThSc6 crystal.

V = 565.8 Å³ per cell
Density = 4.6 g/cm³
Magnetization = 0.00 μB/f.u.
Formation energy from the elements = 103 kJ/mol of formula units
Symmetry = No. 148
E_tot = -6.417 eV per atom

abc: 9.225 9.225 9.225
angles: 111.07 111.07 111.07
Atoms (fractional coordinates):
Y (0.069, 0.380, 0.584)
Y (0.102, 0.737, 0.156)
Y (0.156, 0.102, 0.737)
Y (0.263, 0.844, 0.898)
Y (0.380, 0.584, 0.069)
Y (0.416, 0.931, 0.620)
Y (0.584, 0.069, 0.380)
Y (0.620, 0.416, 0.931)
Y (0.737, 0.156, 0.102)
Y (0.844, 0.898, 0.263)
Y (0.898, 0.263, 0.844)
Y (0.931, 0.620, 0.416)
Th (0.000, 0.000, 0.000)
Sc (0.215, 0.467, 0.316)
Sc (0.316, 0.215, 0.467)
Sc (0.467, 0.316, 0.215)
Sc (0.533, 0.684, 0.785)
Sc (0.684, 0.785, 0.533)
Sc (0.785, 0.533, 0.684)


Record 5
The following is a DFT calculation (PBE) of a relaxed GdSiPt2 crystal.

V = 232.5 Å³ per cell
Density = 12.3 g/cm³
Magnetization = 7.11 μB/f.u.
Symmetry = No. 166
E_tot = -8.893 eV per atom

abc: 4.192 4.192 15.273
angles: 90.00 90.00 120.00
Atoms (fractional coordinates):
Gd (0.000, 0.000, 0.000)
Gd (0.333, 0.667, 0.667)
Gd (0.667, 0.333, 0.333)
Si (0.000, 0.000, 0.500)
Si (0.333, 0.667, 0.167)
Si (0.667, 0.333, 0.833)
Pt (0.000, 0.000, 0.211)
Pt (0.000, 0.000, 0.789)
Pt (0.333, 0.667, 0.456)
Pt (0.333, 0.667, 0.878)
Pt (0.667, 0.333, 0.122)
Pt (0.667, 0.333, 0.544)


Record 6
The following is a DFT calculation (PBE) of a relaxed ScNbH2I crystal.

V = 92.3 Å³ per cell
Density = 4.8 g/cm³
Magnetization = 2.24 μB/f.u.
Symmetry = No. 123
E_tot = -4.592 eV per atom

abc: 4.012 4.012 5.733
angles: 90.00 90.00 90.00
Atoms (fractional coordinates):
Sc (0.000, 0.000, 0.000)
Nb (0.000, 0.000, 0.500)
H (0.000, 0.500, 0.500)
H (0.500, 0.000, 0.500)
I (0.500, 0.500, 0.000)


Record 7
The following is a DFT calculation (PBE) of a relaxed CrTe2Rh crystal.

V = 329.8 Å³ per cell
Offset from the most stable computed form = 0.719 eV/atom
Density = 8.3 g/cm³
Magnetization = 3.48 μB/f.u.
Symmetry = No. 216
E_tot = -5.236 eV per atom

abc: 6.909 6.909 6.909
angles: 90.00 90.00 90.00
Atoms (fractional coordinates):
Cr (0.000, 0.000, 0.000)
Cr (0.000, 0.500, 0.500)
Cr (0.500, 0.000, 0.500)
Cr (0.500, 0.500, 0.000)
Te (0.000, 0.000, 0.500)
Te (0.000, 0.500, 0.000)
Te (0.250, 0.250, 0.250)
Te (0.250, 0.750, 0.750)
Te (0.500, 0.000, 0.000)
Te (0.500, 0.500, 0.500)
Te (0.750, 0.250, 0.750)
Te (0.750, 0.750, 0.250)
Rh (0.250, 0.250, 0.750)
Rh (0.250, 0.750, 0.250)
Rh (0.750, 0.250, 0.250)
Rh (0.750, 0.750, 0.750)


Record 8
The following is a DFT calculation (PBE) of a relaxed Ce2NdAuC crystal.

V = 121.3 Å³ per cell
Density = 8.7 g/cm³
Magnetization = 0.78 μB/f.u.
Formation energy from the elements = -119 kJ/mol of formula units
Symmetry = No. 123
E_tot = -6.074 eV per atom

abc: 4.865 4.865 5.126
angles: 90.00 90.00 90.00
Atoms (fractional coordinates):
Ce (0.000, 0.500, 0.000)
Ce (0.500, 0.000, 0.000)
Nd (0.000, 0.000, 0.500)
Au (0.500, 0.500, 0.500)
C (0.000, 0.000, 0.000)


Record 9
The following is a DFT calculation (PBE) of a relaxed BaMg2MnSe4 crystal.

V = 402.7 Å³ per cell
Density = 4.6 g/cm³
Magnetization = 5.00 μB/f.u.
Symmetry = No. 63
E_tot = -4.705 eV per atom

abc: 7.271 7.271 13.931
angles: 90.00 90.00 146.85
Atoms (fractional coordinates):
Ba (0.121, 0.879, 0.750)
Ba (0.879, 0.121, 0.250)
Mg (0.375, 0.625, 0.552)
Mg (0.375, 0.625, 0.948)
Mg (0.625, 0.375, 0.052)
Mg (0.625, 0.375, 0.448)
Mn (0.157, 0.843, 0.250)
Mn (0.843, 0.157, 0.750)
Se (0.000, 0.000, 0.000)
Se (0.000, 0.000, 0.500)
Se (0.259, 0.741, 0.107)
Se (0.259, 0.741, 0.393)
Se (0.442, 0.558, 0.750)
Se (0.558, 0.442, 0.250)
Se (0.741, 0.259, 0.607)
Se (0.741, 0.259, 0.893)


Record 10
The following is a DFT calculation (PBE) of a relaxed ZnHgPd4 crystal.

V = 196.5 Å³ per cell
Offset from the most stable computed form = 0.048 eV/atom
Density = 11.7 g/cm³
Magnetization = 0.00 μB/f.u.
Formation energy from the elements = -121 kJ/mol of formula units
Symmetry = No. 15
E_tot = -3.934 eV per atom

abc: 6.779 6.779 5.050
angles: 100.12 100.12 116.13
Atoms (fractional coordinates):
Zn (0.001, 0.999, 0.750)
Zn (0.999, 0.001, 0.250)
Hg (0.403, 0.597, 0.750)
Hg (0.597, 0.403, 0.250)
Pd (0.084, 0.712, 0.450)
Pd (0.172, 0.409, 0.129)
Pd (0.288, 0.916, 0.050)
Pd (0.409, 0.172, 0.629)
Pd (0.591, 0.828, 0.371)
Pd (0.712, 0.084, 0.950)
Pd (0.828, 0.591, 0.871)
Pd (0.916, 0.288, 0.550)


Record 11
The following is a DFT calculation (PBE) of a relaxed BeRe2Ru crystal.

V = 51.8 Å³ per cell
Offset from the most stable computed form = 0.000 eV/atom
Density = 15.5 g/cm³
Magnetization = 0.00 μB/f.u.
Formation energy from the elements = -27 kJ/mol of formula units
Symmetry = No. 99
E_tot = -9.544 eV per atom

abc: 2.830 2.830 6.470
angles: 90.00 90.00 90.00
Atoms (fractional coordinates):
Be (0.000, 0.000, 0.000)
Re (0.000, 0.000, 0.519)
Re (0.500, 0.500, 0.232)
Ru (0.500, 0.500, 0.797)


Record 12
The following is a DFT calculation (PBE) of a relaxed BeReW2 crystal.

V = 56.8 Å³ per cell
Density = 16.5 g/cm³
Magnetization = 0.00 μB/f.u.
Formation energy from the elements = 65 kJ/mol of formula units
Symmetry = No. 123
E_tot = -10.353 eV per atom

abc: 3.155 3.155 5.706
angles: 90.00 90.00 90.00
Atoms (fractional coordinates):
Be (0.000, 0.000, 0.000)
Re (0.000, 0.000, 0.500)
W (0.500, 0.500, 0.226)
W (0.500, 0.500, 0.774)


Record 13
The following is a DFT calculation (PBE) of a relaxed RbTl2Re crystal.

V = 444.9 Å³ per cell
Offset from the most stable computed form = 0.232 eV/atom
Density = 10.2 g/cm³
Magnetization = 3.08 μB/f.u.
Formation energy from the elements = 461 kJ/mol of formula units
Symmetry = No. 225
E_tot = -3.341 eV per atom

abc: 7.634 7.634 7.634
angles: 90.00 90.00 90.00
Atoms (fractional coordinates):
Rb (0.000, 0.000, 0.000)
Rb (0.000, 0.500, 0.500)
Rb (0.500, 0.000, 0.500)
Rb (0.500, 0.500, 0.000)
Tl (0.250, 0.250, 0.250)
Tl (0.250, 0.250, 0.750)
Tl (0.250, 0.750, 0.250)
Tl (0.250, 0.750, 0.750)
Tl (0.750, 0.250, 0.250)
Tl (0.750, 0.250, 0.750)
Tl (0.750, 0.750, 0.250)
Tl (0.750, 0.750, 0.750)
Re (0.000, 0.000, 0.500)
Re (0.000, 0.500, 0.000)
Re (0.500, 0.000, 0.000)
Re (0.500, 0.500, 0.500)